1.
ZnPt2W after structural relaxation, computed with PBE.

a = 2.8162 Å, b = 2.8162 Å, c = 26.7934 Å
α = 90.00°, β = 90.00°, γ = 120.00°
Space group R-3m (No. 166, hexagonal axes)
Asymmetric unit:
Zn 0.0000 0.0000 0.0000
Pt 0.0000 0.0000 0.2511
W 0.0000 0.0000 0.5000

Results
Crystal system: trigonal
Formation energy from the elements, meV per atom: -234.1

2.
KSb6Au12 after structural relaxation, computed with PBE.

a = 14.7437 Å, b = 14.7437 Å, c = 7.1389 Å
α = 90.00°, β = 90.00°, γ = 120.00°
Space group R-3 (No. 148, hexagonal axes)
Asymmetric unit:
K 0.0000 0.0000 0.0000
Sb 0.0365 0.2369 0.2039
Au 0.0421 0.6193 0.8141
Au 0.0602 0.1665 0.6249

Results
Crystal system: trigonal
Formation energy from raw total energies, meV per atom: -51

3.
Zn4ReCl after structural relaxation, computed with PBE.

a = 7.184 Å, b = 7.184 Å, c = 7.184 Å
α = 90.00°, β = 90.00°, γ = 90.00°
Space group F-43m (No. 216)
Asymmetric unit:
Zn 0.123 0.123 0.377
Re 0.250 0.250 0.750
Cl 0.000 0.000 0.000

Results
Crystal system: cubic
Formation energy from raw total energies, meV per atom: 529

4.
ZnGaAg4 after structural relaxation, computed with PBE.

a = 7.649 Å, b = 2.931 Å, c = 18.204 Å
α = 90.00°, β = 90.00°, γ = 90.00°
Space group Pnma (No. 62)
Asymmetric unit:
Zn 0.249 0.250 0.060
Ga 0.241 0.250 0.813
Ag 0.056 0.750 0.434
Ag 0.061 0.750 0.699
Ag 0.105 0.750 0.941
Ag 0.108 0.750 0.175

Results
Crystal system: orthorhombic
Formation energy from the elements, meV per atom: -41.5

5.
EuY3 after structural relaxation, computed with PBE.

a = 3.667 Å, b = 11.687 Å, c = 6.366 Å
α = 90.00°, β = 90.00°, γ = 90.00°
Space group Imm2 (No. 44)
Asymmetric unit:
Eu 0.000 0.000 0.000
Y 0.000 0.246 0.664
Y 0.000 0.500 0.999

Results
Crystal system: orthorhombic
Formation energy from the elements, meV per atom: 61.3

6.
CsHfTc2 after structural relaxation, computed with PBE.

a = 5.001 Å, b = 5.001 Å, c = 18.367 Å
α = 90.00°, β = 90.00°, γ = 90.00°
Space group I-42d (No. 122)
Asymmetric unit:
Cs 0.000 0.000 0.000
Hf 0.000 0.000 0.500
Tc 0.044 0.250 0.625

Results
Crystal system: tetragonal
Formation energy from the elements, meV per atom: 1511.3

7.
Pm5PrY6 after structural relaxation, computed with PBE.

a = 6.278 Å, b = 10.871 Å, c = 11.887 Å
α = 90.00°, β = 100.10°, γ = 90.00°
Space group C2/m (No. 12)
Asymmetric unit:
Pm 0.000 0.000 0.000
Pm 0.000 0.167 0.500
Pm 0.000 0.333 0.000
Pr 0.000 0.500 0.500
Y 0.249 0.000 0.750
Y 0.250 0.167 0.249

Results
Crystal system: monoclinic
Formation energy from the elements, meV per atom: 9.8

8.
Hf3Tc4W after structural relaxation, computed with PBE.

a = 3.216 Å, b = 3.216 Å, c = 13.019 Å
α = 90.00°, β = 90.00°, γ = 90.00°
Space group P4/mmm (No. 123)
Asymmetric unit:
Hf 0.000 0.000 0.000
Hf 0.000 0.000 0.252
Tc 0.500 0.500 0.128
Tc 0.500 0.500 0.384
W 0.000 0.000 0.500

Results
Crystal system: tetragonal
Formation energy from the elements, meV per atom: -407.3

Number 1: total magnetic moment 0.00 μB/f.u., final energy -6.81 eV per atom. Number 2: total magnetic moment 0.00 μB/f.u., final energy -3.48 eV per atom. Number 3: total magnetic moment 0.00 μB/f.u., final energy -2.70 eV per atom. Number 4: total magnetic moment 0.00 μB/f.u., final energy -2.66 eV per atom. Number 5: total magnetic moment 8.08 μB/f.u., final energy -7.36 eV per atom. Number 6: total magnetic moment 0.00 μB/f.u., final energy -6.37 eV per atom. Number 7: total magnetic moment 0.00 μB/f.u., final energy -5.60 eV per atom. Number 8: total magnetic moment 0.00 μB/f.u., final energy -10.94 eV per atom.